Computed, not measured: an optimized crystal structure of CsNb2WO at the PBE with a Hubbard U level of DFT.

As for the calculated total energy: -28.319 eV/cell. Its crystal system is tetragonal.

Cell lengths 4.5938, 4.5938, 4.5278 Å; angles 90.00, 90.00, 90.00 degrees
With the nearest neighbours (Å) after each atom.
Space group P4/mmm (No. 123)
Inequivalent atoms, fractional coordinates:
Cs  0.0000  0.0000  0.0000 x1  8 Nb 3.23, 4 W 3.25
Nb  0.0000  0.5000  0.5000 x2  2 O 2.30
W  0.5000  0.5000  0.0000 x1  2 O 2.26
O  0.5000  0.5000  0.5000 x1  2 W 2.26, 4 Nb 2.30